1.
First-principles (PBE-GGA) data for BaCr2Co after structural relaxation, as listed in Alexandria via LeMat-Bulk.

Unit cell a=3.3632 b=5.6273 c=9.7395 alpha=90.00 beta=90.00 gamma=90.00
Space group Immm (No. 71)
Symmetry-distinct sites (fractional):
Ba  0.0000  0.0000  0.0000
Cr  0.0000  0.5000  0.1790
Co  0.0000  0.0000  0.5000

Output
Energy of formation = 1.071 eV/atom
Distance to the lowest polymorph of the same formula = 522 meV per atom
DOS(E_F) = 16.3 states/eV per cell

=====

2.
First-principles (PBE-GGA) data for GdCu5 after structural relaxation, as listed in Alexandria via LeMat-Bulk.

Unit cell a=5.0766 b=5.0766 c=4.0866 alpha=90.00 beta=90.00 gamma=120.00
Space group P6/mmm (No. 191)
Symmetry-distinct sites (fractional):
Gd  0.0000  0.0000  0.0000
Cu  0.0000  0.5000  0.5000
Cu  0.3333  0.6667  0.0000

Output
Energy of formation = -0.175 eV/atom
DOS(E_F) = 5.6 states/eV per cell

=====

3.
First-principles (PBE-GGA) data for PmGdNiSb after structural relaxation, as listed in Alexandria via LeMat-Bulk.

Unit cell a=7.3155 b=7.3155 c=7.3155 alpha=90.00 beta=90.00 gamma=90.00
Space group F-43m (No. 216)
Symmetry-distinct sites (fractional):
Pm  0.0000  0.0000  0.0000
Gd  0.0000  0.0000  0.5000
Ni  0.2500  0.2500  0.2500
Sb  0.2500  0.2500  0.7500

Output
DOS(E_F) = 14.3 states/eV per cell
Energy relative to the elements, uncorrected = -496 meV per atom

=====

4.
First-principles (PBE-GGA) data for SrAcInSn after structural relaxation, as listed in Alexandria via LeMat-Bulk.

Unit cell a=8.1662 b=8.1662 c=8.1662 alpha=90.00 beta=90.00 gamma=90.00
Space group F-43m (No. 216)
Symmetry-distinct sites (fractional):
Sr  0.0000  0.0000  0.0000
Ac  0.0000  0.0000  0.5000
In  0.2500  0.2500  0.7500
Sn  0.2500  0.2500  0.2500

Output
Energy of formation = -0.506 eV/atom
Distance to the lowest polymorph of the same formula = 83 meV per atom
DOS(E_F) = 7.6 states/eV per cell

=====

5.
First-principles (PBE-GGA) data for CeTmH8Ir2 after structural relaxation, as listed in Alexandria via LeMat-Bulk.

Unit cell a=4.8110 b=4.8110 c=18.3308 alpha=90.00 beta=90.00 gamma=120.00
Space group R-3 (No. 148, hexagonal axes)
Symmetry-distinct sites (fractional):
Ce  0.0000  0.0000  0.0000
Tm  0.0000  0.0000  0.5000
H  0.0000  0.0000  0.3271
H  0.0536  0.6060  0.5588
Ir  0.0000  0.0000  0.2387

Output
DOS(E_F) = 16.5 states/eV per cell

=====

6.
First-principles (PBE-GGA) data for Pm4NdAs5 after structural relaxation, as listed in Alexandria via LeMat-Bulk.

Unit cell a=4.2488 b=5.9999 c=21.2216 alpha=90.00 beta=90.00 gamma=90.00
Space group Immm (No. 71)
Symmetry-distinct sites (fractional):
Pm  0.0000  0.0000  0.1001
Pm  0.0000  0.0000  0.2997
Nd  0.0000  0.0000  0.5000
As  0.0000  0.5000  0.1007
As  0.0000  0.5000  0.3001
As  0.0000  0.5000  0.5000

Output
Energy of formation = -1.524 eV/atom
DOS(E_F) = 3.3 states/eV per cell

=====

7.
First-principles (PBE-GGA) data for AsIr2 after structural relaxation, as listed in Alexandria via LeMat-Bulk.

Unit cell a=3.6112 b=3.6112 c=7.3968 alpha=90.00 beta=90.00 gamma=90.00
Space group I4/mmm (No. 139)
Symmetry-distinct sites (fractional):
As  0.0000  0.0000  0.0000
Ir  0.0000  0.0000  0.3214

Output
Energy of formation = 0.431 eV/atom
DOS(E_F) = 7.9 states/eV per cell

=====

8.
First-principles (PBE-GGA) data for YCuH3 after structural relaxation, as listed in Alexandria via LeMat-Bulk.

Unit cell a=4.0701 b=4.0701 c=4.0701 alpha=90.00 beta=90.00 gamma=90.00
Space group Pm-3m (No. 221)
Symmetry-distinct sites (fractional):
Y  0.0000  0.0000  0.0000
Cu  0.5000  0.5000  0.5000
H  0.0000  0.0000  0.5000

Output
DOS(E_F) = 1.2 states/eV per cell

=====

What energy values result from the calculations? In sequence: -48.0 -35.6 -122.9 -58.2 -174.7 -124.5 -42.2 -19.8 eV for the cell shown.